Below is an optimized crystal structure of Pr8SiS4Cl3, with properties calculated at the PBE-GGA level.

It has space group R-3m (No. 166, hexagonal axes), with a = 8.3704 Å, b = 8.3704 Å, c = 20.2741 Å, α = 90.00°, β = 90.00° and γ = 120.00°. Symmetry generates all atoms from Pr at (0.0000, 0.0000, 0.2381), Pr at (0.0173, 0.5087, 0.7571), Si at (0.0000, 0.0000, 0.0000), S at (0.0000, 0.0000, 0.5000), S at (0.0000, 0.5000, 0.5000) and Cl at (0.0000, 0.5000, 0.0000).

The total energy is -5.7783 eV per atom. Its volume is 25.63 Å³/atom. For the calculated density, the calculation gives 5.629 g/cm³. The value obtained for the uncorrected formation energy is -1671 meV per atom.